# Cr3CuAs (PBE, relaxed)
data_Cr3CuAs
_chemical_formula_sum 'Cr3 Cu1 As1'
_symmetry_space_group_name_H-M 'P m -3 m'
_symmetry_Int_Tables_number 221
_symmetry_space_group_name_Hall '-P 4 2 3'
_cell_length_a 4.7330
_cell_length_b 4.7330
_cell_length_c 4.7330
_cell_angle_alpha 90.00
_cell_angle_beta 90.00
_cell_angle_gamma 90.00
loop_
_atom_site_label
_atom_site_fract_x
_atom_site_fract_y
_atom_site_fract_z
_atom_site_occupancy
Cr1 0.0000 0.0000 0.5000 1
Cu1 0.5000 0.5000 0.5000 1
As1 0.0000 0.0000 0.0000 1
# Energy above the most stable polymorph in this dataset in eV/atom: 0.0000
# Energy of formation from the pure elements in eV/atom: 1.02
# Crystal system: cubic
# DOS(E_F) in states/eV/f.u.: 3.95